1.
8
Lattice="-1.9778 1.9778 4.0506 1.9778 -1.9778 4.0506 1.9778 1.9778 -4.0506" Properties=species:S:1:pos:R:3 comment="Be2NF (SCAN, single point on PBEsol structure)" volume_a3_per_cell=63 e_form_raw_mev_per_atom=-1931 dft_energy_ev_per_atom=-7.316 total_magnetization_mub_per_cell=0.000 pbc="T T T"
Be 2.9667 0.7566 -1.0127
Be 0.7566 0.9889 1.0127
Be -0.9889 1.2212 3.0380
Be 1.2212 0.9889 5.0633
N 0.0000 0.0000 0.0000
N 0.0000 1.9778 2.0253
F 1.9778 0.0000 2.0253
F 0.0000 0.0000 4.0506

=====

2.
8
Lattice="0.0000 3.6117 3.6117 3.6117 0.0000 3.6117 3.6117 3.6117 0.0000" Properties=species:S:1:pos:R:3 comment="BeNF2 (SCAN, single point on PBEsol structure)" volume_a3_per_cell=94 e_form_raw_mev_per_atom=-1414 dft_energy_ev_per_atom=-6.595 total_magnetization_mub_per_cell=6.000 pbc="T T T"
Be 0.9029 0.9029 0.9029
Be 6.3205 6.3205 6.3205
N 2.7088 2.7088 2.7088
N 4.5146 4.5146 4.5146
F 0.0000 0.0000 0.0000
F 1.8058 1.8058 0.0000
F 1.8058 0.0000 1.8058
F 0.0000 1.8058 1.8058

=====

3.
5
Lattice="3.2256 0.0000 0.0000 0.0000 3.2256 0.0000 0.0000 0.0000 5.0374" Properties=species:S:1:pos:R:3 comment="NaBeN2F (SCAN, single point on PBEsol structure)" volume_a3_per_cell=52 e_form_raw_mev_per_atom=-174 dft_energy_ev_per_atom=-6.313 total_magnetization_mub_per_cell=1.319 pbc="T T T"
Na 0.0000 0.0000 0.0000
Be 1.6128 1.6128 2.5187
N 0.0000 1.6128 2.5187
N 1.6128 0.0000 2.5187
F 1.6128 1.6128 0.0000